Computed, not measured: WCNO2 after structural relaxation at the PBE with a Hubbard U level of DFT.

a b c (Å): 3.844 3.844 4.084
angles (deg): 90.00 90.00 90.00
Each line ends with the local moment (μB).
Fractional coordinates of all 5 atoms:
C (0.500, 0.500, 0.500)  0.64
O (0.000, 0.500, 0.000)  -0.03
O (0.500, 0.000, 0.000)  -0.03
W (0.000, 0.000, 0.000)  0.21
N (0.000, 0.000, 0.500)  -0.24

For the total energy, the calculation gives -6.257 eV/atom. Its crystal system is tetragonal. The theoretical density comes out at 6.65 g/cm3. As for the size of the total moment: 0.200 μB/atom.